Record 1
# PrSm2Tl2Ag2

A relaxed structure of PrSm2Tl2Ag2 (GGA-PBE, Alexandria).

Computed properties:
Size of the total moment (μB per formula unit): 0.00
E_form (meV/atom): -204
V (A^3/atom): 27.8
Mass density (g/cm3): 9.10
DOS at the Fermi energy (states/eV per atom): 0.708
Total energy (eV/atom): -3.73

Cell and atoms, written as POSCAR:
```
PrSm2Tl2Ag2
1.0
2.480 1.432 9.129
-2.480 1.432 9.129
0.000 -2.863 9.129
Pr Sm Tl Ag
1 2 2 2
direct
0.000 0.000 0.000
0.125 0.125 0.125
0.875 0.875 0.875
0.259 0.259 0.259
0.741 0.741 0.741
0.401 0.401 0.401
0.599 0.599 0.599
```

---

Record 2
# PrSmYAg

A relaxed structure of PrSmYAg (GGA-PBE, Alexandria).

Computed properties:
Size of the total moment (μB per formula unit): 0.00
E_form (meV/atom): -127
V (A^3/atom): 29.9
Mass density (g/cm3): 6.78
DOS at the Fermi energy (states/eV per atom): 1.464
Total energy (eV/atom): -4.83

Cell and atoms, written as POSCAR:
```
PrSmYAg
1.0
3.678 0.000 0.000
0.000 3.678 0.000
0.000 0.000 8.840
Pr Sm Y Ag
1 1 1 1
direct
0.000 0.000 0.000
0.500 0.500 0.707
0.500 0.500 0.292
0.000 0.000 0.491
```

---

Record 3
# Pr2SmZn2Ag2

A relaxed structure of Pr2SmZn2Ag2 (GGA-PBE, Alexandria).

Computed properties:
Size of the total moment (μB per formula unit): 0.00
E_form (meV/atom): -226
V (A^3/atom): 25.1
Mass density (g/cm3): 7.36
DOS at the Fermi energy (states/eV per atom): 0.924
Total energy (eV/atom): -3.44

Cell and atoms, written as POSCAR:
```
Pr2SmZn2Ag2
1.0
2.347 1.355 9.210
-2.347 1.355 9.210
0.000 -2.710 9.210
Pr Sm Zn Ag
2 1 2 2
direct
0.123 0.123 0.123
0.877 0.877 0.877
0.000 0.000 0.000
0.266 0.266 0.266
0.734 0.734 0.734
0.395 0.395 0.395
0.605 0.605 0.605
```

---

Record 4
# Pr6AgSn3

A relaxed structure of Pr6AgSn3 (GGA-PBE, Alexandria).

Computed properties:
Size of the total moment (μB per formula unit): 0.00
E_form (meV/atom): -394
V (A^3/atom): 32.6
Mass density (g/cm3): 6.68
DOS at the Fermi energy (states/eV per atom): 1.046
Total energy (eV/atom): -4.75

Cell and atoms, written as POSCAR:
```
Pr6AgSn3
1.0
5.746 -7.642 0.000
5.746 7.642 0.000
0.000 0.000 7.416
Pr Ag Sn
12 2 6
direct
0.046 0.954 0.500
0.111 0.517 0.059
0.233 0.328 0.701
0.299 0.701 0.531
0.328 0.233 0.201
0.483 0.889 0.059
0.517 0.111 0.559
0.672 0.767 0.701
0.701 0.299 0.031
0.767 0.672 0.201
0.889 0.483 0.559
0.954 0.046 0.000
0.159 0.841 0.176
0.841 0.159 0.676
0.015 0.262 0.340
0.262 0.015 0.840
0.456 0.544 0.989
0.544 0.456 0.489
0.738 0.985 0.340
0.985 0.738 0.840
```

---

Q: Which value of size of the total moment does entry 3 give?
A: 0.00 μB per formula unit

---

Q: Look up the E_form of the first one.
A: -204 meV/atom

---

Q: Which of these has the highest E_form?
A: PrSmYAg